# Ba2PaTe5, optimized geometry, DFT GGA-PBE
data_Ba2PaTe5
_cell_length_a 14.233
_cell_length_b 9.651
_cell_length_c 8.624
_cell_angle_alpha 90.00
_cell_angle_beta 90.00
_cell_angle_gamma 90.00
_symmetry_space_group_name_H-M 'P n m a'
_symmetry_Int_Tables_number 62
loop_
_symmetry_equiv_pos_as_xyz
'x,y,z'
'-x,-y,-z'
'-x+1/2,-y,z+1/2'
'x+1/2,y,-z+1/2'
'x+1/2,-y+1/2,-z+1/2'
'-x+1/2,y+1/2,z+1/2'
'-x,y+1/2,-z'
'x,-y+1/2,z'
loop_
_atom_site_label
_atom_site_type_symbol
_atom_site_fract_x
_atom_site_fract_y
_atom_site_fract_z
Ba1 Ba 0.171 0.002 0.091
Pa1 Pa 0.011 0.250 0.558
Te1 Te 0.014 0.250 0.917
Te2 Te 0.060 0.539 0.696
Te3 Te 0.197 0.250 0.391
Te4 Te 0.197 0.750 0.385
# Polymorph energy (0 for the lowest one), meV per atom: 0
# Raw formation energy, meV/atom: -1234


# LiTb3Ir, optimized geometry, DFT GGA-PBE
data_LiTb3Ir
_cell_length_a 5.449
_cell_length_b 5.449
_cell_length_c 5.449
_cell_angle_alpha 90.00
_cell_angle_beta 90.00
_cell_angle_gamma 90.00
_symmetry_space_group_name_H-M 'P m -3 m'
_symmetry_Int_Tables_number 221
_symmetry_space_group_name_Hall '-P 4 2 3'
loop_
_atom_site_label
_atom_site_type_symbol
_atom_site_fract_x
_atom_site_fract_y
_atom_site_fract_z
Li1 Li 0.000 0.000 0.000
Tb1 Tb 0.000 0.500 0.500
Ir1 Ir 0.500 0.500 0.500
# E_form, eV/atom: -0.24


# Er3ScCu2, optimized geometry, DFT GGA-PBE
data_Er3ScCu2
_cell_length_a 3.549
_cell_length_b 9.376
_cell_length_c 8.472
_cell_angle_alpha 90.00
_cell_angle_beta 90.00
_cell_angle_gamma 90.00
_symmetry_space_group_name_H-M 'P m c 21'
_symmetry_Int_Tables_number 26
loop_
_symmetry_equiv_pos_as_xyz
'x,y,z'
'-x,-y,z+1/2'
'-x,y,z'
'x,-y,z+1/2'
loop_
_atom_site_label
_atom_site_type_symbol
_atom_site_fract_x
_atom_site_fract_y
_atom_site_fract_z
Er1 Er 0.000 0.080 0.000
Er2 Er 0.000 0.288 0.338
Er3 Er 0.500 0.220 0.676
Sc1 Sc 0.500 0.429 0.011
Cu1 Cu 0.000 0.437 0.727
Cu2 Cu 0.500 0.068 0.283
# E_form, eV/atom: -0.12


# TbDy2Pb, optimized geometry, DFT GGA-PBE
data_TbDy2Pb
_cell_length_a 3.6088
_cell_length_b 3.6088
_cell_length_c 32.8069
_cell_angle_alpha 90.00
_cell_angle_beta 90.00
_cell_angle_gamma 120.00
_symmetry_space_group_name_H-M 'R 3 m'
_symmetry_Int_Tables_number 160
_symmetry_space_group_name_Hall 'R 3 -2"'
loop_
_atom_site_label
_atom_site_type_symbol
_atom_site_fract_x
_atom_site_fract_y
_atom_site_fract_z
Tb1 Tb 0.0000 0.0000 0.0000
Dy1 Dy 0.0000 0.0000 0.5803
Dy2 Dy 0.0000 0.0000 0.7534
Pb1 Pb 0.0000 0.0000 0.1666
# E_form, eV/atom: -0.16
# Polymorph energy (0 for the lowest one), meV per atom: 126


Number 1: total magnetization 0.00 μB per formula unit. Number 2: total magnetization 0.00 μB per formula unit. Number 3: total magnetization 0.00 μB per formula unit. Number 4: total magnetization 0.00 μB per formula unit.